[1]
## Ac2HfTl2S6 (PBE)

Data for an optimized crystal structure of Ac2HfTl2S6.

Calculated values
DOS(E_F): 0.00 states/eV/f.u.
formation energy without anion corrections: -1.496 eV/atom
space group: No. 12
E_tot: -5.83 eV per atom
theoretical density: 6.0 Mg/m³
crystal system: monoclinic

Cell: 7.2533 7.2533 7.8192 Å, 98.85 98.85 119.00°
Last column: nearest neighbours and their distance in Å.
Atoms (fractional coordinates):
1 Ac 0.3341 0.6659 0.5000  6 S 2.95-3.01
2 Ac 0.6659 0.3341 0.5000  6 S 2.95-3.01
3 Hf 0.0000 0.0000 0.5000  6 S 2.59
4 Tl 0.8353 0.1647 0.0000  4 S 3.16-3.23
5 Tl 0.1647 0.8353 0.0000  4 S 3.16-3.23
6 S 0.7794 0.7794 0.7032  1 Hf 2.59
7 S 0.0635 0.3593 0.6947  1 Hf 2.59
8 S 0.2206 0.2206 0.2968  1 Hf 2.59
9 S 0.3593 0.0635 0.6947  1 Hf 2.59
10 S 0.9365 0.6407 0.3053  1 Hf 2.59
11 S 0.6407 0.9365 0.3053  1 Hf 2.59


[2]
## AcHfUS6 (PBE)

Data for an optimized crystal structure of AcHfUS6.

Calculated values
DOS(E_F): 1.36 states/eV/f.u.
formation energy without anion corrections: -1.592 eV/atom
space group: No. 163
E_tot: -7.16 eV per atom
theoretical density: 5.6 Mg/m³
crystal system: trigonal

Cell: 6.6845 6.6845 12.7772 Å, 90.00 90.00 120.00°
Last column: nearest neighbours and their distance in Å.
Atoms (fractional coordinates):
1 Ac 0.0000 0.0000 0.0000  6 S 3.01
2 Ac 0.0000 0.0000 0.5000  6 S 3.01
3 Hf 0.6667 0.3333 0.2500  6 S 2.55
4 Hf 0.3333 0.6667 0.7500  6 S 2.55
5 U 0.3333 0.6667 0.2500  6 S 2.62
6 U 0.6667 0.3333 0.7500  6 S 2.62
7 S 0.6346 0.6267 0.1345  1 Hf 2.55, 1 U 2.62
8 S 0.9921 0.3654 0.1345  1 Hf 2.55, 1 U 2.62
9 S 0.3654 0.9921 0.6345  1 Hf 2.55, 1 U 2.62
10 S 0.0079 0.6346 0.8655  1 Hf 2.55, 1 U 2.62
11 S 0.3733 0.3654 0.3655  1 Hf 2.55, 1 U 2.62
12 S 0.9921 0.6267 0.3655  1 Hf 2.55, 1 U 2.62
13 S 0.6267 0.9921 0.8655  1 Hf 2.55, 1 U 2.62
14 S 0.6346 0.0079 0.3655  1 Hf 2.55, 1 U 2.62
15 S 0.0079 0.3733 0.6345  1 Hf 2.55, 1 U 2.62
16 S 0.3733 0.0079 0.1345  1 Hf 2.55, 1 U 2.62
17 S 0.6267 0.6346 0.6345  1 Hf 2.55, 1 U 2.62
18 S 0.3654 0.3733 0.8655  1 Hf 2.55, 1 U 2.62